[1]
VASP calculation (GGA-PBE) on an optimized crystal structure of TaCd3Br6.

Computed properties:
calculated total energy: -2.941 eV per atom
space group: P-31m, No. 162

Lattice parameters (Å, degrees): 6.265 6.265 8.676 90.00 90.00 120.00
Fractional coordinates of all 10 atoms:
Cd  0.333  0.667  0.500
Cd  0.667  0.333  0.500
Cd  0.000  0.000  0.500
Br  0.675  0.675  0.828
Br  0.325  0.000  0.828
Br  0.000  0.325  0.828
Br  0.675  0.000  0.172
Br  0.325  0.325  0.172
Br  0.000  0.675  0.172
Ta  0.000  0.000  0.000

[2]
VASP calculation (GGA-PBE) on an optimized crystal structure of RbNaSbAu.

Computed properties:
calculated total energy: -2.835 eV per atom
space group: Amm2, No. 38

Lattice parameters (Å, degrees): 6.505 6.498 6.498 106.58 90.00 90.00
Fractional coordinates of all 8 atoms:
Na  0.500  0.509  0.846
Na  0.500  0.846  0.509
Au  0.264  0.989  0.989
Au  0.736  0.989  0.989
Rb  0.000  0.506  0.160
Rb  0.000  0.160  0.506
Sb  0.500  0.276  0.276
Sb  0.000  0.725  0.725

Please write out number 2 again, unchanged.
VASP calculation (GGA-PBE) on an optimized crystal structure of RbNaSbAu.

Computed properties:
calculated total energy: -2.835 eV per atom
space group: Amm2, No. 38

Lattice parameters (Å, degrees): 6.505 6.498 6.498 106.58 90.00 90.00
Fractional coordinates of all 8 atoms:
Na  0.500  0.509  0.846
Na  0.500  0.846  0.509
Au  0.264  0.989  0.989
Au  0.736  0.989  0.989
Rb  0.000  0.506  0.160
Rb  0.000  0.160  0.506
Sb  0.500  0.276  0.276
Sb  0.000  0.725  0.725

Which of these has the highest calculated total energy?
RbNaSbAu

What is the calculated total energy in the first record?
-2.941 eV per atom